[1]
Density functional theory data (GGA-PBE) for crystalline Tl5W at its relaxed geometry.

energy of formation = 12.96 kcal/mol of atoms
crystal system = tetragonal
DFT total energy = -21.412 eV for the cell shown

a b c (Å): 3.1432 3.1432 15.9190
angles (deg): 90.00 90.00 90.00
Last column: nearest neighbours and their distance in Å.
Space group P4/mmm (No. 123)
Asymmetric unit:
1 Tl 0.0000 0.0000 0.0000 (multiplicity 1)  4 Tl 3.14
2 Tl 0.0000 0.0000 0.3626 (multiplicity 2)  4 W 3.12, 4 Tl 3.14
3 Tl 0.5000 0.5000 0.1858 (multiplicity 2)  4 Tl 3.14
4 W 0.5000 0.5000 0.5000 (multiplicity 1)  8 Tl 3.12, 4 W 3.14

[2]
Density functional theory data (GGA-PBE) for crystalline Tl4W5 at its relaxed geometry.

energy of formation = 21.14 kcal/mol of atoms
crystal system = tetragonal
DFT total energy = -131.963 eV for the cell shown

a b c (Å): 9.3426 9.3426 4.2208
angles (deg): 90.00 90.00 90.00
Last column: nearest neighbours and their distance in Å.
Space group I4/mmm (No. 139)
Asymmetric unit:
1 Tl 0.0000 0.3168 0.0000 (multiplicity 8)  5 W 2.96-2.98, 4 Tl 3.21
2 W 0.0000 0.0000 0.0000 (multiplicity 2)  8 W 2.80, 4 Tl 2.96
3 W 0.1399 0.1399 0.5000 (multiplicity 8)  4 W 2.61-2.80

[3]
Density functional theory data (GGA-PBE) for crystalline Tl3W at its relaxed geometry.

energy of formation = 17.62 kcal/mol of atoms
crystal system = tetragonal
DFT total energy = -16.995 eV for the cell shown

a b c (Å): 3.0101 3.0101 10.9563
angles (deg): 90.00 90.00 90.00
Last column: nearest neighbours and their distance in Å.
Space group P4/mmm (No. 123)
Asymmetric unit:
1 Tl 0.0000 0.0000 0.0000 (multiplicity 1)  4 Tl 3.01
2 Tl 0.5000 0.5000 0.2842 (multiplicity 2)  4 Tl 3.01, 4 W 3.18
3 W 0.0000 0.0000 0.5000 (multiplicity 1)  4 W 3.01, 8 Tl 3.18

[4]
Density functional theory data (GGA-PBE) for crystalline Tl3W at its relaxed geometry.

energy of formation = 26.99 kcal/mol of atoms
crystal system = cubic
DFT total energy = -61.479 eV for the cell shown

a b c (Å): 7.4065 7.4065 7.4065
angles (deg): 90.00 90.00 90.00
Last column: nearest neighbours and their distance in Å.
Space group Fm-3m (No. 225)
Asymmetric unit:
1 Tl 0.0000 0.0000 0.0000 (multiplicity 4)  8 Tl 3.21
2 Tl 0.2500 0.2500 0.2500 (multiplicity 8)  4 Tl 3.21, 4 W 3.21
3 W 0.0000 0.0000 0.5000 (multiplicity 4)  8 Tl 3.21

[5]
Density functional theory data (GGA-PBE) for crystalline Tl5W at its relaxed geometry.

energy of formation = 12.85 kcal/mol of atoms
crystal system = monoclinic
DFT total energy = -42.885 eV for the cell shown

a b c (Å): 10.9439 3.0988 10.0814
angles (deg): 90.00 104.22 90.00
Last column: nearest neighbours and their distance in Å.
Space group Cm (No. 8)
Asymmetric unit:
1 Tl 0.0000 0.0000 0.0000 (multiplicity 2)  3 W 2.90-3.00, 2 Tl 3.10
2 Tl 0.0804 0.0000 0.4174 (multiplicity 2)  6 Tl 3.10-3.45
3 Tl 0.1694 0.5000 0.7509 (multiplicity 2)  2 W 2.92, 3 Tl 3.10-3.22
4 Tl 0.2829 0.5000 0.2519 (multiplicity 2)  2 W 2.93, 3 Tl 3.10-3.27
5 Tl 0.3765 0.0000 0.5908 (multiplicity 2)  6 Tl 3.10-3.45
6 W 0.2651 0.0000 0.0008 (multiplicity 2)  7 Tl 2.90-3.00, 2 W 3.10

[6]
Density functional theory data (GGA-PBE) for crystalline Tl3W at its relaxed geometry.

energy of formation = 22.49 kcal/mol of atoms
crystal system = orthorhombic
DFT total energy = -32.302 eV for the cell shown

a b c (Å): 7.2774 8.4091 3.0520
angles (deg): 90.00 90.00 90.00
Last column: nearest neighbours and their distance in Å.
Space group Cmmm (No. 65)
Asymmetric unit:
1 Tl 0.0000 0.0000 0.0000 (multiplicity 2)  10 Tl 3.05-3.17
2 Tl 0.2500 0.2500 0.5000 (multiplicity 4)  6 Tl 3.05-3.17, 4 W 3.17
3 W 0.0000 0.5000 0.0000 (multiplicity 2)  2 W 3.05, 8 Tl 3.17

[7]
Density functional theory data (GGA-PBE) for crystalline TlW4 at its relaxed geometry.

energy of formation = 21.87 kcal/mol of atoms
crystal system = tetragonal
DFT total energy = -98.875 eV for the cell shown

a b c (Å): 4.2162 4.2162 11.5427
angles (deg): 90.00 90.00 90.00
Last column: nearest neighbours and their distance in Å.
Space group I4/mmm (No. 139)
Asymmetric unit:
1 Tl 0.0000 0.0000 0.0000 (multiplicity 2)  16 W 3.28-3.57
2 W 0.0000 0.0000 0.3807 (multiplicity 4)  5 W 2.59-2.75
3 W 0.0000 0.5000 0.2500 (multiplicity 4)  4 W 2.59

[8]
Density functional theory data (GGA-PBE) for crystalline Tl3W4 at its relaxed geometry.

energy of formation = 36.45 kcal/mol of atoms
crystal system = hexagonal
DFT total energy = -47.848 eV for the cell shown

a b c (Å): 5.5144 5.5144 5.0980
angles (deg): 90.00 90.00 120.00
Last column: nearest neighbours and their distance in Å.
Space group P6/mmm (No. 191)
Asymmetric unit:
1 Tl 0.0000 0.5000 0.0000 (multiplicity 3)  4 Tl 2.76, 8 W 3.01-3.06
2 W 0.0000 0.0000 0.2597 (multiplicity 2)  2 W 2.45-2.65
3 W 0.3333 0.6667 0.5000 (multiplicity 2)  6 Tl 3.01, 3 W 3.18

[9]
Density functional theory data (GGA-PBE) for crystalline YTl2W at its relaxed geometry.

energy of formation = 13.55 kcal/mol of atoms
crystal system = monoclinic
DFT total energy = -21.799 eV for the cell shown

a b c (Å): 3.1915 5.0661 6.0859
angles (deg): 90.00 104.98 90.00
Last column: nearest neighbours and their distance in Å.
Space group Pm (No. 6)
Asymmetric unit:
1 Y 0.0000 0.0000 0.0000 (multiplicity 1)  7 Tl 3.14-3.46, 2 Y 3.19, 4 W 3.23-3.25
2 Tl 0.2678 0.0000 0.5341 (multiplicity 1)  2 W 2.95, 3 Y 3.14-3.17, 4 Tl 3.19-3.30
3 Tl 0.6418 0.5000 0.2948 (multiplicity 1)  2 W 2.97-3.30, 6 Tl 3.19-3.32
4 W 0.4001 0.5000 0.7896 (multiplicity 1)  4 Tl 2.95-3.30, 2 W 3.19, 4 Y 3.23-3.25

[10]
Density functional theory data (GGA-PBE) for crystalline YTl2W at its relaxed geometry.

energy of formation = 10.77 kcal/mol of atoms
crystal system = orthorhombic
DFT total energy = -44.562 eV for the cell shown

a b c (Å): 4.4560 4.5912 8.7670
angles (deg): 90.00 90.00 90.00
Last column: nearest neighbours and their distance in Å.
Space group Immm (No. 71)
Asymmetric unit:
1 Y 0.0000 0.0000 0.0000 (multiplicity 2)  8 Tl 3.14-3.16, 4 W 3.20
2 Tl 0.0000 0.5000 0.2482 (multiplicity 4)  4 W 3.11-3.18, 4 Y 3.14-3.16, 4 Tl 3.20
3 W 0.0000 0.0000 0.5000 (multiplicity 2)  8 Tl 3.11-3.18, 4 Y 3.20

[11]
Density functional theory data (GGA-PBE) for crystalline YTlW2 at its relaxed geometry.

energy of formation = 27.33 kcal/mol of atoms
crystal system = cubic
DFT total energy = -119.984 eV for the cell shown

a b c (Å): 6.8310 6.8310 6.8310
angles (deg): 90.00 90.00 90.00
Last column: nearest neighbours and their distance in Å.
Space group Fm-3m (No. 225)
Asymmetric unit:
1 Y 0.0000 0.0000 0.0000 (multiplicity 4)  8 W 2.96
2 Tl 0.0000 0.0000 0.5000 (multiplicity 4)  8 W 2.96
3 W 0.2500 0.2500 0.2500 (multiplicity 8)  4 Tl 2.96, 4 Y 2.96

[12]
Density functional theory data (GGA-PBE) for crystalline YTlW4 at its relaxed geometry.

energy of formation = 10.64 kcal/mol of atoms
crystal system = cubic
DFT total energy = -231.497 eV for the cell shown

a b c (Å): 7.7647 7.7647 7.7647
angles (deg): 90.00 90.00 90.00
Last column: nearest neighbours and their distance in Å.
Space group F-43m (No. 216)
Asymmetric unit:
1 Y 0.0000 0.0000 0.0000 (multiplicity 4)  12 W 3.22, 4 Tl 3.36
2 Tl 0.2500 0.2500 0.7500 (multiplicity 4)  12 W 3.22, 4 Y 3.36
3 W 0.1244 0.1244 0.3756 (multiplicity 16)  6 W 2.73-2.76

[13]
Density functional theory data (GGA-PBE) for crystalline YTlW2 at its relaxed geometry.

energy of formation = 13.87 kcal/mol of atoms
crystal system = cubic
DFT total energy = -129.324 eV for the cell shown

a b c (Å): 6.8318 6.8318 6.8318
angles (deg): 90.00 90.00 90.00
Last column: nearest neighbours and their distance in Å.
Space group F-43m (No. 216)
Asymmetric unit:
1 Y 0.0000 0.0000 0.0000 (multiplicity 4)  4 Tl 2.96, 4 W 2.96
2 Tl 0.2500 0.2500 0.7500 (multiplicity 4)  4 W 2.96, 4 Y 2.96
3 W 0.0000 0.0000 0.5000 (multiplicity 4)  4 Tl 2.96, 4 W 2.96
4 W 0.2500 0.2500 0.2500 (multiplicity 4)  4 W 2.96, 4 Y 2.96

[14]
Density functional theory data (GGA-PBE) for crystalline YTlW2 at its relaxed geometry.

energy of formation = 12.96 kcal/mol of atoms
crystal system = orthorhombic
DFT total energy = -64.979 eV for the cell shown

a b c (Å): 3.5730 4.9554 9.5762
angles (deg): 90.00 90.00 90.00
Last column: nearest neighbours and their distance in Å.
Space group Imm2 (No. 44)
Asymmetric unit:
1 Y 0.0000 0.0000 0.0000 (multiplicity 2)  8 W 3.08-3.32, 4 Tl 3.22-3.25
2 Tl 0.0000 0.5000 0.7800 (multiplicity 2)  8 W 3.09-3.36, 4 Y 3.22-3.25
3 W 0.0000 0.0000 0.5428 (multiplicity 2)  2 W 2.54
4 W 0.0000 0.5000 0.2312 (multiplicity 2)  2 W 2.54

[15]
Density functional theory data (GGA-PBE) for crystalline YTlW at its relaxed geometry.

energy of formation = 14.55 kcal/mol of atoms
crystal system = hexagonal
DFT total energy = -19.890 eV for the cell shown

a b c (Å): 5.0647 5.0647 3.0492
angles (deg): 90.00 90.00 120.00
Last column: nearest neighbours and their distance in Å.
Space group P-6m2 (No. 187)
Asymmetric unit:
1 Y 0.0000 0.0000 0.0000 (multiplicity 1)  2 Y 3.05, 6 W 3.30, 6 Tl 3.30
2 Tl 0.3333 0.6667 0.5000 (multiplicity 1)  3 W 2.92, 2 Tl 3.05
3 W 0.6667 0.3333 0.5000 (multiplicity 1)  3 Tl 2.92, 2 W 3.05

[16]
Density functional theory data (GGA-PBE) for crystalline YTlW2 at its relaxed geometry.

energy of formation = 13.69 kcal/mol of atoms
crystal system = monoclinic
DFT total energy = -64.724 eV for the cell shown

a b c (Å): 8.5083 3.1815 6.7378
angles (deg): 90.00 98.20 90.00
Last column: nearest neighbours and their distance in Å.
Space group Cm (No. 8)
Asymmetric unit:
1 Y 0.0000 0.0000 0.0000 (multiplicity 2)  5 W 2.99-3.29, 3 Tl 3.17-3.23, 2 Y 3.18
2 Tl 0.2434 0.0000 0.6858 (multiplicity 2)  5 W 2.94-3.16, 3 Y 3.17-3.23, 2 Tl 3.18
3 W 0.2598 0.5000 0.2842 (multiplicity 2)  3 W 2.58-2.62
4 W 0.4933 0.0000 0.4263 (multiplicity 2)  3 W 2.58-2.62

[17]
Density functional theory data (GGA-PBE) for crystalline YTlW at its relaxed geometry.

energy of formation = 15.62 kcal/mol of atoms
crystal system = trigonal
DFT total energy = -19.752 eV for the cell shown

a b c (Å): 3.2677 3.2677 7.4426
angles (deg): 90.00 90.00 120.00
Last column: nearest neighbours and their distance in Å.
Space group P3m1 (No. 156)
Asymmetric unit:
1 Y 0.0000 0.0000 0.0000 (multiplicity 1)  3 W 3.01, 6 Y 3.27, 3 Tl 3.33
2 Tl 0.6667 0.3333 0.3691 (multiplicity 1)  3 W 3.01, 6 Tl 3.27, 3 Y 3.33
3 W 0.3333 0.6667 0.6844 (multiplicity 1)  3 Tl 3.01, 3 Y 3.01, 6 W 3.27

[18]
Density functional theory data (GGA-PBE) for crystalline YTlW2 at its relaxed geometry.

energy of formation = 16.11 kcal/mol of atoms
crystal system = orthorhombic
DFT total energy = -31.941 eV for the cell shown

a b c (Å): 3.6568 4.5810 4.7925
angles (deg): 90.00 90.00 90.00
Last column: nearest neighbours and their distance in Å.
Space group Pmmm (No. 47)
Asymmetric unit:
1 Y 0.0000 0.0000 0.0000 (multiplicity 1)  4 Tl 2.93, 4 W 3.01
2 Tl 0.5000 0.5000 0.0000 (multiplicity 1)  4 Y 2.93, 4 W 3.01
3 W 0.0000 0.5000 0.5000 (multiplicity 1)  4 W 2.93, 4 Tl 3.01
4 W 0.5000 0.0000 0.5000 (multiplicity 1)  4 W 2.93, 4 Y 3.01

[19]
Density functional theory data (GGA-PBE) for crystalline YTl2W at its relaxed geometry.

energy of formation = 19.05 kcal/mol of atoms
crystal system = tetragonal
DFT total energy = -83.384 eV for the cell shown

a b c (Å): 4.3936 4.3936 21.1708
angles (deg): 90.00 90.00 90.00
Last column: nearest neighbours and their distance in Å.
Space group I-42d (No. 122)
Asymmetric unit:
1 Y 0.0000 0.0000 0.0000 (multiplicity 4)  4 W 3.11, 4 Tl 3.11
2 Tl 0.2226 0.2500 0.6250 (multiplicity 8)  4 Tl 2.94-3.28, 2 W 3.03, 2 Y 3.11
3 W 0.0000 0.0000 0.5000 (multiplicity 4)  4 Tl 3.03, 4 Y 3.11

[20]
Density functional theory data (GGA-PBE) for crystalline YTl2W at its relaxed geometry.

energy of formation = 13.23 kcal/mol of atoms
crystal system = tetragonal
DFT total energy = -21.856 eV for the cell shown

a b c (Å): 3.5469 3.5469 7.9482
angles (deg): 90.00 90.00 90.00
Last column: nearest neighbours and their distance in Å.
Space group P4mm (No. 99)
Asymmetric unit:
1 Y 0.0000 0.0000 0.0000 (multiplicity 1)  4 W 3.09, 1 Tl 3.23
2 Tl 0.0000 0.0000 0.5932 (multiplicity 1)  4 W 2.88
3 Tl 0.5000 0.5000 0.3109 (multiplicity 1)  8 Tl 3.36-3.55, 4 Y 3.52, 1 W 3.67
4 W 0.5000 0.5000 0.7723 (multiplicity 1)  4 Tl 2.88, 4 Y 3.09